A plane-wave DFT calculation with meta-GGA SCAN was carried out for TaMn2Tl at its PBEsol-relaxed geometry.

Crystal system: cubic
ρ: 12967 kg/m³
ΔE_f: 0.348 eV/atom

POSCAR file:
```
TaMn2Tl
1.0
4.476 0.000 0.000
2.238 3.876 0.000
2.238 1.292 3.655
Mn Ta Tl
2 1 1
Direct
0.000 0.000 0.000
0.250 0.250 0.250
0.500 0.500 0.500
0.750 0.750 0.750
```



A plane-wave DFT calculation with meta-GGA SCAN was carried out for TaMn2Tl at its PBEsol-relaxed geometry.

Crystal system: tetragonal
ρ: 13931 kg/m³
ΔE_f: 0.225 eV/atom

POSCAR file:
```
TaMn2Tl
1.0
3.308 0.000 0.000
0.000 4.223 0.083
0.000 -0.082 4.223
Mn Ta Tl
2 1 1
Direct
0.000 0.000 0.500
0.000 0.500 0.000
0.500 0.000 0.000
0.500 0.500 0.500
```



A plane-wave DFT calculation with meta-GGA SCAN was carried out for TaMnTl2 at its PBEsol-relaxed geometry.

Crystal system: orthorhombic
ρ: 13666 kg/m³
ΔE_f: 0.435 eV/atom

POSCAR file:
```
TaMnTl2
1.0
3.009 0.000 0.000
0.000 4.903 0.000
-1.504 -2.451 5.310
Mn Ta Tl
1 1 2
Direct
0.481 0.481 0.962
0.783 0.283 0.566
0.009 0.009 0.018
0.227 0.727 0.455
```



A plane-wave DFT calculation with meta-GGA SCAN was carried out for Ta2MnTl at its PBEsol-relaxed geometry.

Crystal system: cubic
ρ: 15150 kg/m³
ΔE_f: 0.525 eV/atom

POSCAR file:
```
Ta2MnTl
1.0
-0.754 -2.564 3.723
3.032 -3.212 1.223
2.575 0.586 3.746
Tl Mn Ta
1 1 2
Direct
0.500 0.500 0.500
0.000 0.000 0.000
0.250 0.250 0.250
0.750 0.750 0.750
```



A plane-wave DFT calculation with meta-GGA SCAN was carried out for TaMnTl2 at its PBEsol-relaxed geometry.

Crystal system: cubic
ρ: 13894 kg/m³
ΔE_f: 0.781 eV/atom

POSCAR file:
```
TaMnTl2
1.0
4.776 0.000 0.000
2.388 4.136 0.000
2.388 1.379 3.900
Mn Ta Tl
1 1 2
Direct
0.500 0.500 0.500
0.250 0.250 0.250
0.000 0.000 0.000
0.750 0.750 0.750
```



A plane-wave DFT calculation with meta-GGA SCAN was carried out for TaMnTl2 at its PBEsol-relaxed geometry.

Crystal system: monoclinic
ρ: 13511 kg/m³
ΔE_f: 0.434 eV/atom

POSCAR file:
```
TaMnTl2
1.0
-2.116 -0.270 -2.121
1.337 -5.295 -0.280
-2.884 1.776 4.595
Mn Ta Tl
1 1 2
Direct
0.500 0.000 0.000
0.000 0.500 0.000
0.000 0.000 0.500
0.500 0.500 0.500
```



A plane-wave DFT calculation with meta-GGA SCAN was carried out for Ta2MnV3 at its PBEsol-relaxed geometry.

Crystal system: trigonal
ρ: 11157 kg/m³
ΔE_f: -0.214 eV/atom

POSCAR file:
```
Ta2MnV3
1.0
-1.551 -1.299 -4.454
-4.300 -2.292 -0.433
-3.772 2.401 -1.985
V Mn Ta
3 1 2
Direct
0.000 0.500 0.000
0.500 0.000 0.000
0.000 0.000 0.500
0.000 0.000 0.000
0.626 0.626 0.626
0.374 0.374 0.374
```



A plane-wave DFT calculation with meta-GGA SCAN was carried out for TaMnW at its PBEsol-relaxed geometry.

Crystal system: trigonal
ρ: 15866 kg/m³
ΔE_f: 0.113 eV/atom

POSCAR file:
```
TaMnW
1.0
-2.628 -0.718 0.202
1.005 -2.804 3.113
-1.031 4.060 1.009
Mn Ta W
1 1 1
Direct
0.005 0.000 0.000
0.679 0.333 0.667
0.316 0.667 0.333
```



A plane-wave DFT calculation with meta-GGA SCAN was carried out for TaMn2W at its PBEsol-relaxed geometry.

Crystal system: cubic
ρ: 14695 kg/m³
ΔE_f: -0.082 eV/atom

POSCAR file:
```
TaMn2W
1.0
-0.538 0.139 -4.196
2.989 -1.544 -2.569
-0.706 -3.570 -2.163
Mn W Ta
2 1 1
Direct
0.250 0.250 0.250
0.750 0.750 0.750
0.500 0.500 0.500
0.000 0.000 0.000
```



A plane-wave DFT calculation with meta-GGA SCAN was carried out for TaMn4W at its PBEsol-relaxed geometry.

Crystal system: cubic
ρ: 13122 kg/m³
ΔE_f: -0.031 eV/atom

POSCAR file:
```
TaMn4W
1.0
4.712 0.000 0.000
2.356 4.081 0.000
2.356 1.360 3.847
Mn Ta W
4 1 1
Direct
0.376 0.376 0.376
0.376 0.376 0.873
0.873 0.376 0.376
0.376 0.873 0.376
0.750 0.750 0.750
0.000 0.000 0.000
```



A plane-wave DFT calculation with meta-GGA SCAN was carried out for TaMn2W at its PBEsol-relaxed geometry.

Crystal system: monoclinic
ρ: 14326 kg/m³
ΔE_f: 0.084 eV/atom

POSCAR file:
```
TaMn2W
1.0
2.687 -0.006 -0.010
-0.876 4.772 -0.006
-0.876 -2.068 4.300
Mn Ta W
2 1 1
Direct
0.000 0.500 0.000
0.000 0.000 0.500
0.500 0.000 0.000
0.500 0.500 0.500
```



A plane-wave DFT calculation with meta-GGA SCAN was carried out for TaMn2W at its PBEsol-relaxed geometry.

Crystal system: trigonal
ρ: 14207 kg/m³
ΔE_f: 0.295 eV/atom

POSCAR file:
```
TaMn2W
1.0
2.706 0.000 0.000
1.353 2.344 0.000
1.353 0.781 8.748
Mn Ta W
2 1 1
Direct
0.008 0.008 0.977
0.740 0.740 0.779
0.494 0.494 0.517
0.258 0.258 0.226
```



- Look up the ΔE_f of the fifth one.
  0.781 eV/atom



- ΔE_f of number 10 (TaMn4W)?
  -0.031 eV/atom



- Which formula does entry 6 have?
  TaMnTl2



- What is the formula in the fourth record?
  Ta2MnTl